Record 1
First-principles (PBE) data for crystalline Cr2Cd2W at its relaxed geometry, as listed in Alexandria via LeMat-Bulk.

M_tot	0.000	μB/atom
energy	-5.898	eV per atom

Cell lengths 3.0494, 3.0494, 18.4766 Å; angles 90.00, 90.00, 90.00 degrees
Space group I4/mmm (No. 139)
Inequivalent atoms, fractional coordinates:
1 Cr 0.0000 0.5000 0.2500
2 Cd 0.0000 0.0000 0.1146
3 W 0.0000 0.0000 0.5000



Record 2
First-principles (PBE) data for crystalline CrCdW2 at its relaxed geometry, as listed in Alexandria via LeMat-Bulk.

M_tot	0.458	μB/atom
energy	-8.657	eV per atom

Cell lengths 3.1667, 3.1667, 6.5980 Å; angles 90.00, 90.00, 90.00 degrees
Space group P4mm (No. 99)
Inequivalent atoms, fractional coordinates:
1 Cr 0.0000 0.0000 0.0000
2 Cd 0.5000 0.5000 0.7295
3 W 0.0000 0.0000 0.4331
4 W 0.5000 0.5000 0.2056



Record 3
First-principles (PBE) data for crystalline CrCdW2 at its relaxed geometry, as listed in Alexandria via LeMat-Bulk.

M_tot	0.000	μB/atom
energy	-8.526	eV per atom

Cell lengths 3.1843, 4.5261, 8.8536 Å; angles 90.00, 90.00, 90.00 degrees
Space group Imm2 (No. 44)
Inequivalent atoms, fractional coordinates:
1 Cr 0.0000 0.0000 0.0000
2 Cd 0.0000 0.5000 0.2434
3 W 0.0000 0.0000 0.4680
4 W 0.0000 0.5000 0.7194



Record 4
First-principles (PBE) data for crystalline CrCdW at its relaxed geometry, as listed in Alexandria via LeMat-Bulk.

M_tot	0.000	μB/atom
energy above the lowest structure with this stoichiometry	117	meV/atom

Cell lengths 4.4889, 4.4889, 2.7146 Å; angles 90.00, 90.00, 120.00 degrees
Space group P3m1 (No. 156)
Inequivalent atoms, fractional coordinates:
1 Cr 0.0000 0.0000 0.0000
2 Cd 0.6667 0.3333 0.6540
3 W 0.3333 0.6667 0.2364



Record 5
First-principles (PBE) data for crystalline CrCdW2 at its relaxed geometry, as listed in Alexandria via LeMat-Bulk.

M_tot	0.000	μB/atom
energy	-8.615	eV per atom

Cell lengths 3.1446, 4.4785, 9.0288 Å; angles 90.00, 90.00, 90.00 degrees
Space group Immm (No. 71)
Inequivalent atoms, fractional coordinates:
1 Cr 0.0000 0.0000 0.0000
2 Cd 0.0000 0.0000 0.5000
3 W 0.0000 0.5000 0.2723



Record 6
First-principles (PBE) data for crystalline CrCdW at its relaxed geometry, as listed in Alexandria via LeMat-Bulk.

M_tot	0.000	μB/atom
energy above the lowest structure with this stoichiometry	0	meV/atom

Cell lengths 3.1116, 4.5880, 13.7781 Å; angles 90.00, 90.00, 90.00 degrees
Space group Fmm2 (No. 42)
Inequivalent atoms, fractional coordinates:
1 Cr 0.0000 0.0000 0.0000
2 Cd 0.0000 0.0000 0.3259
3 W 0.0000 0.0000 0.6373



Record 7
First-principles (PBE) data for crystalline CrCdW2 at its relaxed geometry, as listed in Alexandria via LeMat-Bulk.

M_tot	0.000	μB/atom
energy	-8.748	eV per atom

Cell lengths 3.1742, 4.4708, 9.1017 Å; angles 90.00, 90.00, 90.00 degrees
Space group Cmm2 (No. 35)
Inequivalent atoms, fractional coordinates:
1 Cr 0.0000 0.0000 0.0000
2 Cd 0.0000 0.5000 0.7435
3 W 0.0000 0.0000 0.4654
4 W 0.0000 0.5000 0.2199



Record 8
First-principles (PBE) data for crystalline CrCdW2 at its relaxed geometry, as listed in Alexandria via LeMat-Bulk.

M_tot	0.000	μB/atom
energy	-8.559	eV per atom

Cell lengths 2.8831, 2.8831, 27.2131 Å; angles 90.00, 90.00, 120.00 degrees
Space group R-3m (No. 166, hexagonal axes)
Inequivalent atoms, fractional coordinates:
1 Cr 0.0000 0.0000 0.0000
2 Cd 0.0000 0.0000 0.5000
3 W 0.0000 0.0000 0.2609